[1]
Compound: Nb2PdO6
Source: the Open Quantum Materials Database
Functional: PBE
Structure: optimized geometry

The value obtained for the total energy is -71.74 eV per cell. As for the space group: C2/m (12). The value obtained for the size of the total moment is 0.00 μB/atom.

Cell lengths 4.6491, 4.6491, 8.2083 Å; angles 107.85, 107.85, 36.68 degrees
Last column: nearest neighbours and their distance in Å.
Positions (direct):
1 Nb 0.7041 0.7041 0.3044  7 O 2.05-2.13
2 Nb 0.2959 0.2959 0.6956  7 O 2.05-2.13
3 O 0.7642 0.7642 0.8609  1 Pd 2.02, 2 Nb 2.07
4 O 0.3426 0.3426 0.4567  3 Nb 2.05-2.13
5 O 0.9789 0.9789 0.7431  1 Pd 2.06, 2 Nb 2.12
6 O 0.2358 0.2358 0.1391  1 Pd 2.02, 2 Nb 2.07
7 O 0.0211 0.0211 0.2569  1 Pd 2.06, 2 Nb 2.12
8 O 0.6574 0.6574 0.5433  3 Nb 2.05-2.13
9 Pd 0.0000 0.0000 0.0000  4 O 2.02-2.06

[2]
Compound: PrSb3S6
Source: the Open Quantum Materials Database
Functional: PBE
Structure: optimized geometry

The value obtained for the total energy is -98.07 eV per cell. As for the space group: P2_1/m (11). The value obtained for the size of the total moment is 0.00 μB/atom.

Cell lengths 11.6627, 3.9146, 11.9052 Å; angles 90.00, 103.54, 90.00 degrees
Last column: nearest neighbours and their distance in Å.
Positions (direct):
1 Sb 0.4042 0.7500 0.8457  3 S 2.49-2.57
2 Sb 0.3359 0.2500 0.4247  3 S 2.55-2.57
3 Sb 0.6641 0.7500 0.5753  3 S 2.55-2.57
4 Sb 0.5958 0.2500 0.1543  3 S 2.49-2.57
5 Sb 0.9667 0.2500 0.7084  3 S 2.49-2.70
6 Sb 0.0333 0.7500 0.2916  3 S 2.49-2.70
7 S 0.3878 0.7500 0.5675  2 Sb 2.57
8 S 0.2575 0.2500 0.8000  2 Sb 2.57
9 S 0.8776 0.7500 0.5570  3 Sb 2.55-2.70
10 S 0.7814 0.2500 0.7773  1 Sb 2.49
11 S 0.2186 0.7500 0.2227  1 Sb 2.49
12 S 0.9649 0.2500 0.1116  2 Sb 2.87, 3 Pr 2.91-2.97
13 S 0.7425 0.7500 0.2000  2 Sb 2.57
14 S 0.0351 0.7500 0.8884  2 Sb 2.87, 3 Pr 2.91-2.97
15 S 0.3832 0.7500 0.0493  1 Sb 2.49
16 S 0.6168 0.2500 0.9507  1 Sb 2.49
17 S 0.1224 0.2500 0.4430  3 Sb 2.55-2.70
18 S 0.6122 0.2500 0.4325  2 Sb 2.57
19 Pr 0.1875 0.2500 0.0313  8 S 2.91-3.05
20 Pr 0.8125 0.7500 0.9687  8 S 2.91-3.05

[3]
Compound: Lu4Ta2Sn3N3
Source: the Open Quantum Materials Database
Functional: PBE
Structure: optimized geometry

The value obtained for the total energy is -180.80 eV per cell. As for the space group: C2/c (15). The value obtained for the size of the total moment is 0.00 μB/atom.

Cell lengths 5.7880, 5.7880, 14.8454 Å; angles 78.90, 78.90, 60.24 degrees
Last column: nearest neighbours and their distance in Å.
Positions (direct):
1 Lu 0.3036 0.1344 0.0887  3 N 2.32-2.33
2 Lu 0.9676 0.8058 0.0887  3 N 2.32-2.33
3 Lu 0.6964 0.8656 0.9113  3 N 2.32-2.33
4 Lu 0.1343 0.3036 0.5887  3 N 2.33
5 Lu 0.8058 0.9676 0.5887  3 N 2.32-2.33
6 Lu 0.8657 0.6964 0.4113  3 N 2.33
7 Lu 0.1942 0.0324 0.4113  3 N 2.32-2.33
8 Lu 0.0324 0.1942 0.9113  3 N 2.32-2.33
9 N 0.8272 0.3361 0.4999  2 Ta 2.21-2.22, 4 Lu 2.33
10 N 0.0000 0.5000 0.0000  2 Ta 2.23, 4 Lu 2.32-2.33
11 N 0.5000 0.0000 0.5000  2 Ta 2.23, 4 Lu 2.32-2.33
12 N 0.6639 0.1728 0.0000  2 Ta 2.21-2.22, 4 Lu 2.32-2.33
13 N 0.1728 0.6639 0.5001  2 Ta 2.21-2.22, 4 Lu 2.33
14 N 0.3361 0.8272 0.0000  2 Ta 2.21-2.22, 4 Lu 2.32-2.33
15 Sn 0.4164 0.2778 0.7490  2 Ta 3.05-3.06, 2 Sn 3.07, 4 Lu 3.08-3.09
16 Sn 0.2778 0.4164 0.2490  2 Ta 3.05-3.06, 2 Sn 3.07, 4 Lu 3.08-3.09
17 Sn 0.5836 0.7222 0.2510  2 Ta 3.05-3.06, 2 Sn 3.07, 4 Lu 3.08-3.09
18 Sn 0.7222 0.5836 0.7510  2 Ta 3.05-3.06, 2 Sn 3.07, 4 Lu 3.08-3.09
19 Sn 0.1111 0.8889 0.7500  2 Ta 3.06, 2 Sn 3.07, 4 Lu 3.08
20 Sn 0.8889 0.1111 0.2500  2 Ta 3.06, 2 Sn 3.07, 4 Lu 3.08
21 Ta 0.6415 0.4741 0.0779  3 N 2.21-2.23
22 Ta 0.3585 0.5259 0.9221  3 N 2.21-2.23
23 Ta 0.4741 0.6415 0.5779  3 N 2.21-2.23
24 Ta 0.5259 0.3585 0.4221  3 N 2.21-2.23

[4]
Compound: LaHoMg6
Source: the Open Quantum Materials Database
Functional: PBE
Structure: optimized geometry

The value obtained for the total energy is -19.54 eV per cell. As for the space group: P4/mmm (123). The value obtained for the size of the total moment is 0.00 μB/atom.

Cell lengths 5.2311, 5.2311, 7.4287 Å; angles 90.00, 90.00, 90.00 degrees
Last column: nearest neighbours and their distance in Å.
Positions (direct):
1 Mg 0.0000 0.0000 0.5000  8 Mg 3.25
2 Mg 0.5000 0.0000 0.2405  2 Ho 3.17, 4 Mg 3.17-3.25, 2 La 3.25
3 Mg 0.0000 0.5000 0.2405  4 Mg 3.17-3.25, 2 Ho 3.17, 2 La 3.25
4 Mg 0.5000 0.5000 0.0000  8 Mg 3.17
5 Mg 0.5000 0.0000 0.7595  4 Mg 3.17-3.25, 2 Ho 3.17, 2 La 3.25
6 Mg 0.0000 0.5000 0.7595  2 Ho 3.17, 4 Mg 3.17-3.25, 2 La 3.25
7 Ho 0.0000 0.0000 0.0000  8 Mg 3.17
8 La 0.5000 0.5000 0.5000  8 Mg 3.25

[5]
Compound: NiAsPd
Source: the Open Quantum Materials Database
Functional: PBE
Structure: optimized geometry

The value obtained for the total energy is -63.89 eV per cell. As for the space group: Pnma (62). The value obtained for the size of the total moment is 0.00 μB/atom.

Cell lengths 4.8346, 3.6613, 9.8943 Å; angles 90.00, 90.00, 90.00 degrees
Last column: nearest neighbours and their distance in Å.
Positions (direct):
1 Ni 0.7447 0.7500 0.8050  4 As 2.41-2.47, 2 Ni 2.65
2 Ni 0.2447 0.7500 0.6950  4 As 2.41-2.47, 2 Ni 2.65
3 Ni 0.2553 0.2500 0.1950  4 As 2.41-2.47, 2 Ni 2.65
4 Ni 0.7553 0.2500 0.3050  4 As 2.41-2.47, 2 Ni 2.65
5 Pd 0.7800 0.7500 0.5227  3 As 2.51-2.57, 1 Ni 2.80
6 Pd 0.2200 0.2500 0.4773  3 As 2.51-2.57, 1 Ni 2.80
7 Pd 0.2800 0.7500 0.9773  3 As 2.51-2.57, 1 Ni 2.80
8 Pd 0.7200 0.2500 0.0227  3 As 2.51-2.57, 1 Ni 2.80
9 As 0.9168 0.7500 0.1671  4 Ni 2.41-2.47, 3 Pd 2.51-2.57
10 As 0.5832 0.2500 0.6671  4 Ni 2.41-2.47, 3 Pd 2.51-2.57
11 As 0.4168 0.7500 0.3329  4 Ni 2.41-2.47, 3 Pd 2.51-2.57
12 As 0.0832 0.2500 0.8329  4 Ni 2.41-2.47, 3 Pd 2.51-2.57

[6]
Compound: ErNiPt
Source: the Open Quantum Materials Database
Functional: PBE
Structure: optimized geometry

As for the energy of formation: -626 meV/atom. As for the space group: F-43m (216). The value obtained for the size of the total moment is 0.00 μB/atom.

Cell lengths 4.3230, 4.3230, 4.3230 Å; angles 60.00, 60.00, 60.00 degrees
Last column: nearest neighbours and their distance in Å.
Positions (direct):
1 Ni 0.0000 0.0000 0.0000  4 Pt 2.65, 4 Er 2.65
2 Pt 0.7500 0.7500 0.7500  4 Ni 2.65
3 Er 0.2500 0.2500 0.2500  4 Ni 2.65